1.
Entry from the Alexandria database: an optimized crystal structure of Li2W (GGA-PBE).

```
Li2W
1.0
4.6198 0.0000 0.0000
-2.3099 4.0008 0.0000
0.0000 0.0000 2.4755
Li W
2 1
Cartesian
0.0000 2.6672 0.0000
2.3099 1.3336 0.0000
0.0000 0.0000 1.2378
```

Results
- theoretical density (Mg/m³) = 7.18
- crystal system = hexagonal
- space group = No. 191
- E_form (eV/f.u.) = 2.2
- total magnetization (μB/f.u.) = 0.2

2.
Entry from the Alexandria database: an optimized crystal structure of Sc6IrRh2 (GGA-PBE).

```
Sc6IrRh2
1.0
0.0000 5.9794 6.7476
2.2484 0.0000 6.7476
2.2484 5.9794 0.0000
Sc Ir Rh
6 1 2
Cartesian
2.2484 1.6287 6.7476
2.2484 4.3491 4.5030
2.2484 7.6096 4.5030
2.2484 4.3491 8.9922
2.2484 7.6096 8.9922
2.2484 10.3300 6.7476
2.2484 5.9794 6.7476
2.2484 5.9794 2.2603
2.2484 5.9794 11.2349
```

Results
- theoretical density (Mg/m³) = 6.11
- crystal system = orthorhombic
- space group = No. 69
- E_form (eV/f.u.) = -5.9
- total magnetization (μB/f.u.) = 0.0

3.
Entry from the Alexandria database: an optimized crystal structure of KTeAs2O8 (GGA-PBE).

```
KTeAs2O8
1.0
2.5343 1.4632 9.2899
-2.5343 1.4632 9.2899
0.0000 -2.9264 9.2899
K Te As O
1 1 2 8
Cartesian
0.0000 0.0000 0.0000
0.0000 0.0000 13.9349
0.0000 0.0000 6.6348
0.0000 0.0000 21.2350
-0.9120 -1.3010 12.5807
-0.6707 -1.4404 15.2891
0.0000 0.0000 8.3020
-0.6707 1.4404 12.5807
-0.9120 1.3010 15.2891
0.0000 0.0000 19.5678
1.5827 -0.1393 12.5807
1.5827 0.1393 15.2890
```

Results
- theoretical density (Mg/m³) = 3.57
- crystal system = trigonal
- space group = No. 155
- total magnetization (μB/f.u.) = 0.5

4.
Entry from the Alexandria database: an optimized crystal structure of Er2TmIr2 (GGA-PBE).

```
Er2TmIr2
1.0
4.7159 0.0000 0.0000
-2.3580 4.0841 0.0000
0.0000 0.0000 5.9711
Er Tm Ir
2 1 2
Cartesian
0.0000 2.7227 0.9801
2.3580 1.3614 4.9910
0.0000 0.0000 2.9856
0.0000 2.7227 3.9996
2.3580 1.3614 1.9715
```

Results
- theoretical density (Mg/m³) = 12.82
- crystal system = trigonal
- space group = No. 164
- E_form (eV/f.u.) = -4.3
- total magnetization (μB/f.u.) = 0.0

5.
Entry from the Alexandria database: an optimized crystal structure of Rb2AuI4 (GGA-PBE).

```
Rb2AuI4
1.0
-4.6034 4.6034 11.1011
4.6034 -4.6034 11.1011
4.6034 4.6034 -11.1011
Rb Au I
4 2 8
Cartesian
6.9051 2.1135 -2.7753
2.1135 2.3017 2.7753
-2.3017 2.4899 8.3259
2.4899 2.3017 13.8764
0.0000 0.0000 0.0000
0.0000 4.6034 5.5506
6.4000 0.0717 0.1576
4.5317 2.8068 -5.3929
0.0717 2.8068 -0.1576
0.0717 1.7966 5.7082
4.5317 1.7966 10.9435
1.7966 -0.0717 16.4941
2.8068 4.6752 5.3929
-1.7966 4.5317 11.2588
```

Results
- theoretical density (Mg/m³) = 3.09
- crystal system = tetragonal
- space group = No. 122
- total magnetization (μB/f.u.) = 0.0

6.
Entry from the Alexandria database: an optimized crystal structure of Ac6Ga2Ag (GGA-PBE).

```
Ac6Ga2Ag
1.0
-5.3132 5.4143 5.6342
5.3132 -5.4143 5.6342
5.3132 5.4143 -5.6342
Ac Ga Ag
12 4 2
Cartesian
5.3132 -3.2366 3.6743
3.2616 0.0000 2.8232
7.3649 0.0000 2.8232
3.4611 2.9011 0.0000
7.1654 2.9011 0.0000
0.0000 2.1777 1.9598
5.3132 3.2366 3.6743
-1.8521 2.5132 5.6342
1.8521 2.5132 5.6342
-2.0516 5.4143 2.8109
2.0516 5.4143 2.8109
0.0000 8.6509 1.9598
1.5040 0.0000 0.0000
9.1225 0.0000 0.0000
0.0000 0.0000 4.3331
0.0000 0.0000 6.9353
5.3132 0.0000 0.0000
0.0000 5.4143 0.0000
```

Results
- theoretical density (Mg/m³) = 8.24
- crystal system = orthorhombic
- space group = No. 71
- E_form (eV/f.u.) = -2.2
- total magnetization (μB/f.u.) = 0.0

7.
Entry from the Alexandria database: an optimized crystal structure of Pm2YEr3Bi6 (GGA-PBE).

```
Pm2YEr3Bi6
1.0
9.7997 -2.2498 0.0000
9.7997 2.2498 0.0000
-2.0489 0.0000 8.7583
Pm Y Er Bi
2 1 3 6
Cartesian
2.5751 0.0000 2.9142
14.9754 0.0000 5.8441
9.7997 0.0000 0.0000
1.5763 0.0000 7.3019
8.7753 0.0000 4.3792
15.9743 0.0000 1.4564
-1.4854 0.0000 6.5641
4.6389 0.0000 8.0833
5.7278 0.0000 3.6058
11.8228 0.0000 5.1525
12.9117 0.0000 0.6750
19.0360 0.0000 2.1942
```

Results
- theoretical density (Mg/m³) = 9.18
- crystal system = monoclinic
- space group = No. 12
- E_form (eV/f.u.) = -10.4
- total magnetization (μB/f.u.) = 0.0

8.
Entry from the Alexandria database: an optimized crystal structure of Zr2PaSe (GGA-PBE).

```
Zr2PaSe
1.0
1.6383 0.9459 9.9637
-1.6383 0.9459 9.9637
0.0000 -1.8918 9.9637
Zr Pa Se
2 1 1
Cartesian
0.0000 0.0000 2.9865
0.0000 0.0000 26.9047
0.0000 0.0000 0.0000
0.0000 0.0000 14.9456
```

Results
- theoretical density (Mg/m³) = 8.83
- crystal system = trigonal
- space group = No. 166
- total magnetization (μB/f.u.) = 0.0

9.
Entry from the Alexandria database: an optimized crystal structure of RbThF6 (GGA-PBE).

```
RbThF6
1.0
0.0000 4.9924 4.9924
4.9924 0.0000 4.9924
4.9924 4.9924 0.0000
Rb Th F
1 1 6
Cartesian
0.0000 0.0000 0.0000
4.9924 4.9924 4.9924
4.9924 4.9924 2.7876
4.9924 2.7876 4.9924
7.1972 4.9924 4.9924
2.7876 4.9924 4.9924
4.9924 7.1972 4.9924
4.9924 4.9924 7.1972
```

Results
- theoretical density (Mg/m³) = 2.88
- crystal system = cubic
- space group = No. 225
- total magnetization (μB/f.u.) = 1.1

10.
Entry from the Alexandria database: an optimized crystal structure of TlSn2As (GGA-PBE).

```
TlSn2As
1.0
5.0242 0.0000 0.0000
0.0000 5.0242 0.0000
0.0000 0.0000 4.1891
Tl Sn As
1 2 1
Cartesian
0.0000 0.0000 0.0000
0.0000 2.5121 2.0946
2.5121 0.0000 2.0946
2.5121 2.5121 0.0000
```

Results
- theoretical density (Mg/m³) = 8.11
- crystal system = tetragonal
- space group = No. 123
- E_form (eV/f.u.) = 0.6
- total magnetization (μB/f.u.) = 0.0

| no. | VASP energy (eV/atom) |
| --- | --- |
| 1 | -4.8605 |
| 2 | -7.4897 |
| 3 | -5.5464 |
| 4 | -7.1143 |
| 5 | -2.4201 |
| 6 | -3.9753 |
| 7 | -5.2788 |
| 8 | -7.6808 |
| 9 | -5.6456 |
| 10 | -3.6133 |